The following is a PBE-GGA calculation of crystalline TbPrAgPt at its relaxed geometry, from Alexandria via LeMat-Bulk.

Cell and atoms, written as POSCAR:
```
TbPrAgPt
1.0
5.142 0.000 0.000
2.571 4.453 0.000
2.571 1.484 4.198
Pr Tb Ag Pt
1 1 1 1
direct
0.500 0.500 0.500
0.000 0.000 0.000
0.250 0.250 0.250
0.750 0.750 0.750
```

offset from the most stable computed form = 21.2 meV per atom
crystal system = cubic
symmetry = F-43m, No. 216
calculated total energy = -5.268 eV per atom